# Ca4MgCoAs4O20, relaxed, DFT PBE+U
# Crystal system: triclinic
# Total magnetization (μB per formula unit): 9.14
# E (eV per atom): -5.9473
data_Ca4MgCoAs4O20
_space_group_name_H-M_alt 'P -1'
_space_group_IT_number 2
_cell_length_a 5.499
_cell_length_b 6.274
_cell_length_c 12.866
_cell_angle_alpha 86.39
_cell_angle_beta 86.47
_cell_angle_gamma 67.75
loop_
_space_group_symop_operation_xyz
'x,y,z'
'-x,-y,-z'
loop_
_atom_site_label
_atom_site_type_symbol
_atom_site_fract_x
_atom_site_fract_y
_atom_site_fract_z
_atom_site_occupancy
Ca1 Ca 0.217 0.063 0.368 1
Ca2 Ca 0.248 0.930 0.874 1
Mg1 Mg 0.500 0.500 0.500 1
Co1 Co 0.000 0.500 0.000 1
As1 As 0.075 0.282 0.622 1
As2 As 0.441 0.706 0.125 1
O1 O 0.016 0.649 0.882 1
O2 O 0.061 0.453 0.324 1
O3 O 0.078 0.067 0.711 1
O4 O 0.110 0.746 0.477 1
O5 O 0.153 0.774 0.059 1
O6 O 0.338 0.273 0.980 1
O7 O 0.388 0.240 0.570 1
O8 O 0.437 0.920 0.201 1
O9 O 0.455 0.563 0.818 1
O10 O 0.462 0.303 0.382 1